No. 1
Entry from the Alexandria database: Sr2CaHI after structural relaxation (PBE).

a = 7.300 Å, b = 7.300 Å, c = 4.188 Å
α = 90.00°, β = 90.00°, γ = 90.00°
Fractional positions:
I1 0.500 0.500 0.500
Sr1 0.000 0.500 0.000
Sr2 0.500 0.000 0.000
H1 0.000 0.000 0.500
Ca1 0.000 0.000 0.000

Summary:
The density of states at the Fermi level is 3.2 states/eV per cell. The total magnetization comes out at 0.61 μB per formula unit. The calculation puts the volume at 223.2 Å³/cell. For the energy, the calculation gives -10.56 eV per cell.

***

No. 2
Entry from the Alexandria database: CaTe2HI after structural relaxation (PBE).

a = 6.176 Å, b = 6.176 Å, c = 6.137 Å
α = 90.00°, β = 90.00°, γ = 90.00°
Fractional positions:
Ca1 0.000 0.000 0.000
H1 0.500 0.500 0.500
I1 0.000 0.000 0.500
Te1 0.000 0.500 0.000
Te2 0.500 0.000 0.000

Summary:
The density of states at the Fermi level is 3.3 states/eV per cell. The distance to the lowest polymorph of the same formula is 616 meV/atom. The total magnetization comes out at 3.85 μB per formula unit. The calculation puts the volume at 234.1 Å³/cell. For the energy, the calculation gives -11.93 eV per cell.

***

No. 3
Entry from the Alexandria database: CaTe2HI after structural relaxation (PBE).

a = 4.552 Å, b = 4.552 Å, c = 6.500 Å
α = 90.00°, β = 90.00°, γ = 90.00°
Fractional positions:
H1 0.000 0.000 0.000
Te1 0.500 0.000 0.000
Te2 0.000 0.500 0.000
Ca1 0.500 0.500 0.500
I1 0.000 0.000 0.500

Summary:
The density of states at the Fermi level is 1.3 states/eV per cell. The distance to the lowest polymorph of the same formula is 0 meV/atom. The total magnetization comes out at 0.00 μB per formula unit. The calculation puts the volume at 134.7 Å³/cell. For the energy, the calculation gives -15.01 eV per cell.

***

No. 4
Entry from the Alexandria database: CaTeHI2 after structural relaxation (PBE).

a = 6.142 Å, b = 6.142 Å, c = 6.302 Å
α = 90.00°, β = 90.00°, γ = 90.00°
Fractional positions:
Te1 0.000 0.000 0.500
H1 0.500 0.500 0.500
Ca1 0.000 0.000 0.000
I1 0.000 0.500 0.000
I2 0.500 0.000 0.000

Summary:
The density of states at the Fermi level is 2.4 states/eV per cell. The distance to the lowest polymorph of the same formula is 237 meV/atom. The total magnetization comes out at 2.98 μB per formula unit. The calculation puts the volume at 237.8 Å³/cell. For the energy, the calculation gives -11.81 eV per cell.

***

No. 5
Entry from the Alexandria database: CaTeHI2 after structural relaxation (PBE).

a = 6.196 Å, b = 4.065 Å, c = 6.196 Å
α = 90.00°, β = 90.00°, γ = 90.00°
Fractional positions:
I1 0.500 0.000 0.000
I2 0.000 0.000 0.500
Ca1 0.000 0.000 0.000
Te1 0.500 0.500 0.500
H1 0.000 0.500 0.000

Summary:
The density of states at the Fermi level is 4.1 states/eV per cell. The distance to the lowest polymorph of the same formula is 18 meV/atom. The total magnetization comes out at 0.00 μB per formula unit. The calculation puts the volume at 156.1 Å³/cell. For the energy, the calculation gives -12.91 eV per cell.

***

No. 6
Entry from the Alexandria database: CaTeHI2 after structural relaxation (PBE).

a = 5.840 Å, b = 5.840 Å, c = 4.052 Å
α = 90.00°, β = 90.00°, γ = 90.00°
Fractional positions:
I1 0.500 0.000 0.000
I2 0.000 0.500 0.000
Ca1 0.500 0.500 0.500
Te1 0.000 0.000 0.500
H1 0.000 0.000 0.000

Summary:
The density of states at the Fermi level is 3.7 states/eV per cell. The distance to the lowest polymorph of the same formula is 0 meV/atom. The total magnetization comes out at 0.00 μB per formula unit. The calculation puts the volume at 138.2 Å³/cell. For the energy, the calculation gives -12.99 eV per cell.